# 1
Computed, not measured: a geometry-optimized La2TbSmSe6 structure at the PBE-GGA level of DFT.

Lattice parameters (Å, degrees): 7.4912 7.4912 19.6668 90.00 90.00 120.00
Last column: nearest neighbours and their distance in Å.
Space group R3 (No. 146, hexagonal axes)
One atom of each set of equivalent atoms:
1 La 0.0000 0.0000 0.0000 [3 per cell]  6 Se 2.99-3.06
2 La 0.0000 0.0000 0.4990 [3 per cell]  6 Se 3.00-3.06
3 Tb 0.0000 0.0000 0.7032 [3 per cell]  6 Se 2.86-2.92
4 Sm 0.0000 0.0000 0.2046 [3 per cell]  6 Se 2.89-2.97
5 Se 0.0457 0.3556 0.7725 [9 per cell]  1 Tb 2.86, 1 Sm 2.97, 2 La 3.00-3.06
6 Se 0.0473 0.6847 0.2732 [9 per cell]  1 Sm 2.89, 1 Tb 2.92, 2 La 2.99-3.06

Calculated values
The density of states at the Fermi level comes out at 0.0 states/eV per cell. The calculation puts the total magnetic moment at 0.000 μB per cell. Its raw total energy is -177.8 eV/cell. The formation energy (no corrections) comes out at -1.916 eV/atom.

---

# 2
Computed, not measured: a geometry-optimized La2TbSm3Se6 structure at the PBE-GGA level of DFT.

Lattice parameters (Å, degrees): 18.3131 4.1923 8.4577 90.00 103.25 90.00
Last column: nearest neighbours and their distance in Å.
Space group C2/m (No. 12)
One atom of each set of equivalent atoms:
1 La 0.1662 0.0000 0.3335 [4 per cell]  6 Se 3.02-3.03
2 Tb 0.0000 0.5000 0.0000 [2 per cell]  6 Se 2.92-2.95
3 Sm 0.0000 0.5000 0.5000 [2 per cell]  6 Se 2.93-3.01
4 Sm 0.1692 0.0000 0.8344 [4 per cell]  6 Se 2.94-2.98
5 Se 0.0035 0.0000 0.7569 [4 per cell]  2 Tb 2.95, 3 Sm 2.95-3.01, 1 La 3.03
6 Se 0.1636 0.5000 0.0754 [4 per cell]  1 Tb 2.92, 3 Sm 2.94-2.98, 2 La 3.02
7 Se 0.1645 0.5000 0.5891 [4 per cell]  3 Sm 2.93-2.94, 3 La 3.02

Calculated values
The density of states at the Fermi level comes out at 12.9 states/eV per cell. The calculation puts the total magnetic moment at 0.000 μB per cell. Its raw total energy is -143.9 eV/cell. The formation energy (no corrections) comes out at -1.869 eV/atom.

---

# 3
Computed, not measured: a geometry-optimized LaTb3Sm3Se8 structure at the PBE-GGA level of DFT.

Lattice parameters (Å, degrees): 8.2657 8.2657 20.2746 90.00 90.00 120.00
Last column: nearest neighbours and their distance in Å.
Space group R-3m (No. 166, hexagonal axes)
One atom of each set of equivalent atoms:
1 La 0.0000 0.0000 0.0000 [3 per cell]  6 Se 3.03
2 Tb 0.0000 0.5000 0.0000 [9 per cell]  6 Se 2.90
3 Sm 0.0000 0.5000 0.5000 [9 per cell]  6 Se 2.95
4 Se 0.0000 0.0000 0.2522 [6 per cell]  3 Tb 2.90, 3 Sm 2.95
5 Se 0.0157 0.5078 0.2484 [18 per cell]  2 Tb 2.90, 2 Sm 2.95, 1 La 3.03

Calculated values
The density of states at the Fermi level comes out at 20.8 states/eV per cell. The calculation puts the total magnetic moment at 0.000 μB per cell. Its raw total energy is -266.3 eV/cell. The formation energy (no corrections) comes out at -1.862 eV/atom.

---

# 4
Computed, not measured: a geometry-optimized LaTb2SmSe4 structure at the PBE-GGA level of DFT.

Lattice parameters (Å, degrees): 7.1889 4.1142 7.3235 90.00 108.81 90.00
Last column: nearest neighbours and their distance in Å.
Space group P2/m (No. 10)
One atom of each set of equivalent atoms:
1 La 0.0000 0.0000 0.0000 [1 per cell]  6 Se 3.02
2 Tb 0.0000 0.5000 0.5000 [1 per cell]  6 Se 2.92
3 Tb 0.5000 0.0000 0.5000 [1 per cell]  6 Se 2.88-2.89
4 Sm 0.5000 0.5000 0.0000 [1 per cell]  6 Se 2.98
5 Se 0.2503 0.0000 0.7394 [2 per cell]  3 Tb 2.89-2.92, 2 Sm 2.98, 1 La 3.02
6 Se 0.2589 0.5000 0.2641 [2 per cell]  3 Tb 2.88-2.92, 1 Sm 2.98, 2 La 3.02

Calculated values
The density of states at the Fermi level comes out at 4.9 states/eV per cell. The calculation puts the total magnetic moment at 0.000 μB per cell. Its raw total energy is -47.6 eV/cell. The formation energy (no corrections) comes out at -1.841 eV/atom.

---

# 5
Computed, not measured: a geometry-optimized LaTbSm2Se4 structure at the PBE-GGA level of DFT.

Lattice parameters (Å, degrees): 7.2428 4.1474 7.3258 90.00 108.96 90.00
Last column: nearest neighbours and their distance in Å.
Space group P2/m (No. 10)
One atom of each set of equivalent atoms:
1 La 0.0000 0.0000 0.0000 [1 per cell]  6 Se 3.00
2 Tb 0.0000 0.5000 0.5000 [1 per cell]  6 Se 2.93
3 Sm 0.5000 0.0000 0.5000 [1 per cell]  6 Se 2.92-2.93
4 Sm 0.5000 0.5000 0.0000 [1 per cell]  6 Se 2.99-3.00
5 Se 0.2480 0.0000 0.7418 [2 per cell]  3 Sm 2.93-2.99, 2 Tb 2.93, 1 La 3.00
6 Se 0.2540 0.5000 0.2592 [2 per cell]  3 Sm 2.92-3.00, 1 Tb 2.93, 2 La 3.00

Calculated values
The density of states at the Fermi level comes out at 5.1 states/eV per cell. The calculation puts the total magnetic moment at 0.001 μB per cell. Its raw total energy is -47.7 eV/cell. The formation energy (no corrections) comes out at -1.846 eV/atom.

---

# 6
Computed, not measured: a geometry-optimized La2Tb3SmSe6 structure at the PBE-GGA level of DFT.

Lattice parameters (Å, degrees): 18.2728 4.1465 8.4421 90.00 104.21 90.00
Last column: nearest neighbours and their distance in Å.
Space group C2/m (No. 12)
One atom of each set of equivalent atoms:
1 La 0.1660 0.0000 0.3324 [4 per cell]  6 Se 3.02-3.03
2 Tb 0.0000 0.5000 0.5000 [2 per cell]  6 Se 2.89-2.93
3 Tb 0.1677 0.0000 0.8338 [4 per cell]  6 Se 2.89-2.92
4 Sm 0.0000 0.5000 0.0000 [2 per cell]  6 Se 2.97-2.99
5 Se 0.0045 0.0000 0.7472 [4 per cell]  3 Tb 2.89-2.93, 2 Sm 2.99, 1 La 3.02
6 Se 0.1630 0.5000 0.5927 [4 per cell]  3 Tb 2.89, 3 La 3.03
7 Se 0.1676 0.5000 0.0720 [4 per cell]  3 Tb 2.89-2.92, 1 Sm 2.97, 2 La 3.03

Calculated values
The density of states at the Fermi level comes out at 12.3 states/eV per cell. The calculation puts the total magnetic moment at 0.000 μB per cell. Its raw total energy is -143.3 eV/cell. The formation energy (no corrections) comes out at -1.858 eV/atom.

---

# 7
Computed, not measured: a geometry-optimized LaTb2SmSe6 structure at the PBE-GGA level of DFT.

Lattice parameters (Å, degrees): 7.3872 7.3872 19.5922 90.00 90.00 120.00
Last column: nearest neighbours and their distance in Å.
Space group R3 (No. 146, hexagonal axes)
One atom of each set of equivalent atoms:
1 La 0.0000 0.0000 0.0000 [3 per cell]  6 Se 2.98-3.07
2 Tb 0.0000 0.0000 0.2948 [3 per cell]  6 Se 2.86-2.91
3 Tb 0.0000 0.0000 0.7973 [3 per cell]  6 Se 2.85-2.92
4 Sm 0.0000 0.0000 0.4954 [3 per cell]  6 Se 2.92-2.98
5 Se 0.0105 0.3086 0.8929 [9 per cell]  2 Tb 2.86-2.92, 1 Sm 2.92, 1 La 3.07
6 Se 0.0245 0.6414 0.0594 [9 per cell]  2 Tb 2.85-2.91, 1 Sm 2.98, 1 La 2.98

Calculated values
The density of states at the Fermi level comes out at 0.0 states/eV per cell. The calculation puts the total magnetic moment at 0.000 μB per cell. Its raw total energy is -175.9 eV/cell. The formation energy (no corrections) comes out at -1.883 eV/atom.

---

# 8
Computed, not measured: a geometry-optimized La2TbSmSe4 structure at the PBE-GGA level of DFT.

Lattice parameters (Å, degrees): 7.3036 4.1801 7.3797 90.00 108.99 90.00
Last column: nearest neighbours and their distance in Å.
Space group P2/m (No. 10)
One atom of each set of equivalent atoms:
1 La 0.0000 0.0000 0.0000 [1 per cell]  6 Se 3.03
2 La 0.5000 0.5000 0.0000 [1 per cell]  6 Se 3.06
3 Tb 0.0000 0.5000 0.5000 [1 per cell]  6 Se 2.91-2.92
4 Sm 0.5000 0.0000 0.5000 [1 per cell]  6 Se 2.95
5 Se 0.2415 0.0000 0.7349 [2 per cell]  2 Tb 2.91, 1 Sm 2.95, 3 La 3.03-3.06
6 Se 0.2509 0.5000 0.2625 [2 per cell]  1 Tb 2.92, 2 Sm 2.95, 3 La 3.03-3.06

Calculated values
The density of states at the Fermi level comes out at 5.4 states/eV per cell. The calculation puts the total magnetic moment at 0.000 μB per cell. Its raw total energy is -48.3 eV/cell. The formation energy (no corrections) comes out at -1.900 eV/atom.